A relaxed structure of HfBiMoRu2, computed with PBE-GGA.

For the formation energy, the calculation gives 1027 meV/atom. Its total magnetic moment is 0.000 μB/cell. The crystal system is tetragonal. The total energy comes out at -7.617 eV per atom.

The space group is P4/mmm (No. 123) and the conventional cell measures 4.7123, 4.7123 and 5.0344 Å, with angles of 90.00, 90.00 and 90.00 degrees. The asymmetric unit holds Hf at (0.0000, 0.0000, 0.0000), Bi at (0.5000, 0.5000, 0.0000), Mo at (0.0000, 0.0000, 0.5000) and Ru at (0.0000, 0.5000, 0.5000).